[1]
Here is an optimized crystal structure of KAcAuO2 from Alexandria. Energies are from GGA-PBE.

The structure in extended XYZ format:
```
10
Lattice="-1.5216 -1.8635 -5.5475 -0.9958 -6.8777 2.5835 -6.2768 4.3923 0.2461" Properties=species:S:1:pos:R:3 pbc="T T T"
K -6.4940 -1.7227 -3.2214
K -2.3002 -2.6262 0.5036
Ac -2.3449 0.1481 -2.7665
Ac -5.4535 2.3807 -2.5349
Au 0.0000 0.0000 0.0000
Au -3.1384 2.1962 0.1231
O -7.8030 -3.0895 -1.4061
O -4.7247 0.2081 -3.3581
O -4.0695 -4.5569 0.6403
O -0.9913 -1.2593 -1.3118
```

Summary:
- Crystal system: monoclinic
- VASP energy: -5.274 eV/atom
- Raw formation energy: -769 kJ/mol of formula units
- Space group: P2/c

---

[2]
Here is an optimized crystal structure of K3Ac3AuO8 from Alexandria. Energies are from GGA-PBE.

The structure in extended XYZ format:
```
15
Lattice="-3.7753 6.3570 -1.3755 -3.6332 -6.1351 2.1763 4.4461 3.7275 5.0235" Properties=species:S:1:pos:R:3 pbc="T T T"
K 0.0000 0.0000 0.0000
K -1.8166 -3.0676 1.0882
K -3.7043 0.1109 0.4004
Ac 0.3354 5.0422 1.8240
Ac -1.4812 1.9747 2.9121
Ac 0.4065 -1.2038 3.5999
Au 2.2231 1.8637 2.5117
O -1.5814 -0.4357 2.3269
O -1.3809 4.3850 3.4974
O -3.7626 2.6155 1.8563
O 0.8002 1.3338 3.9680
O -1.6697 5.9467 0.5430
O -1.2927 -1.9974 5.2813
O 0.3438 2.5563 1.2767
O -3.3062 1.3930 4.5476
```

Summary:
- Crystal system: monoclinic
- VASP energy: -5.900 eV/atom
- Raw formation energy: -2888 kJ/mol of formula units
- Space group: C2/m